VASP calculation (GGA-PBE) on an optimized crystal structure of Pu4PaN5.

## Properties
raw formation energy: -13.08 eV/f.u.
space group: No. 71
total magnetic moment: 0.00 μB/atom

a b c (Å): 3.5003 4.9332 9.2056
angles (deg): 105.54 100.96 90.00
Fractional coordinates of all 10 atoms:
Pu (0.3987, 0.3987, 0.7975)
N (0.5940, 0.0940, 0.1880)
Pa (0.0000, 0.0000, 0.0000)
Pu (0.2006, 0.2006, 0.4013)
N (0.0000, 0.5000, 0.0000)
Pu (0.6013, 0.6013, 0.2025)
N (0.7966, 0.2966, 0.5933)
N (0.4060, 0.9060, 0.8120)
N (0.2034, 0.7034, 0.4067)
Pu (0.7994, 0.7994, 0.5987)